(1)
A geometry-optimized HgBiSbI2 structure, computed with PBE.

Cell lengths 6.240, 6.240, 6.129 Å; angles 90.00, 90.00, 90.00 degrees
Site moments in Bohr magnetons follow the coordinates.
Fractional positions:
I 0.000 0.500 0.000  0.06
I 0.500 0.000 0.000  0.06
Sb 0.000 0.000 0.500  0.64
Bi 0.000 0.000 0.000  -0.09
Hg 0.500 0.500 0.500  0.03

Calculated values
V = 239 Å³/cell
crystal system = tetragonal
SG = No. 123
mass density = 5.464 g/cm³



(2)
A geometry-optimized HgBiSbI2 structure, computed with PBE.

Cell lengths 5.728, 5.728, 5.775 Å; angles 90.00, 90.00, 90.00 degrees
Fractional positions:
I 0.000 0.500 0.000
I 0.500 0.000 0.000
Sb 0.000 0.000 0.500
Bi 0.500 0.500 0.500
Hg 0.000 0.000 0.000

Calculated values
V = 189 Å³/cell
crystal system = tetragonal
SG = No. 123
mass density = 6.882 g/cm³



Relative energies, in eV/atom, with the most stable structure set to zero: (1) 0.000; (2) 0.318.